Entry 1:
Computed, not measured: a relaxed structure of PmSm2Ag at the PBE level of DFT.

Unit cell a=5.486 b=5.486 c=5.486 alpha=60.00 beta=60.00 gamma=60.00
Positions (direct):
Ag1 0.000 0.000 0.000
Sm1 0.250 0.250 0.250
Sm2 0.750 0.750 0.750
Pm1 0.500 0.500 0.500

Values from the calculation:
offset from the most stable computed form	0.208	eV per atom

Entry 2:
Computed, not measured: a relaxed structure of Mg3Tl2Pb at the PBE level of DFT.

Unit cell a=3.623 b=3.623 c=11.600 alpha=90.00 beta=90.00 gamma=90.00
Positions (direct):
Mg1 0.000 0.000 0.000
Mg2 0.000 0.000 0.676
Mg3 0.000 0.000 0.324
Tl1 0.500 0.500 0.837
Tl2 0.500 0.500 0.163
Pb1 0.500 0.500 0.500

Entry 3:
Computed, not measured: a relaxed structure of DyYZnPb at the PBE level of DFT.

Unit cell a=5.244 b=5.244 c=5.244 alpha=60.00 beta=60.00 gamma=60.00
Positions (direct):
Pb1 0.500 0.500 0.500
Y1 0.250 0.250 0.250
Zn1 0.000 0.000 0.000
Dy1 0.750 0.750 0.750

Entry 4:
Computed, not measured: a relaxed structure of PmSc2Pt3 at the PBE level of DFT.

Unit cell a=4.309 b=5.743 c=5.743 alpha=120.00 beta=90.00 gamma=90.00
Positions (direct):
Pm1 0.000 0.000 0.000
Sc1 0.000 0.667 0.333
Sc2 0.000 0.333 0.667
Pt1 0.500 0.000 0.500
Pt2 0.500 0.500 0.500
Pt3 0.500 0.500 0.000

Values from the calculation:
offset from the most stable computed form	0.219	eV per atom

| no. | E_form (eV per atom) |
| --- | --- |
| 1 | 0.0947 |
| 2 | -0.0383 |
| 3 | -0.3803 |
| 4 | -0.9633 |